An optimized crystal structure of Zr6Ni23, computed with PBE-GGA.

Calculated values
ΔE_f	-0.359	eV/atom
total DFT energy (no corrections)	-6.54	eV per atom

a b c (Å): 11.4148 11.4148 11.4148
angles (deg): 90.00 90.00 90.00
Last column: nearest neighbours and their distance in Å.
Space group Fm-3m (No. 225)
Unique sites:
Zr (0.0000, 0.0000, 0.2129) x24  12 Ni 2.72-2.89
Ni (0.0000, 0.0000, 0.5000) x4  8 Ni 2.37
Ni (0.0000, 0.2500, 0.2500) x24  8 Ni 2.33-2.51
Ni (0.1200, 0.1200, 0.3800) x32  7 Ni 2.37-2.52
Ni (0.1710, 0.1710, 0.1710) x32  9 Ni 2.33-2.55